# 1
Compound: TlGeAu
Source: the Alexandria database
Functional: PBE
Structure: optimized geometry

Unit cell a=4.1892 b=4.4835 c=4.4835 alpha=120.00 beta=90.00 gamma=90.00
Fractional positions:
Tl 0.6741 0.6667 0.3333
Au 0.1211 0.0000 0.0000
Ge 0.2047 0.3333 0.6667

Calculated values
- volume (Å³/cell) = 73
- N(E_F) (states/eV per cell) = 1.09
- DFT formation energy (eV/atom) = 0.08

# 2
Compound: KNaNbOF5
Source: the Alexandria database
Functional: PBE
Structure: optimized geometry

Unit cell a=5.9891 b=8.3107 c=12.1229 alpha=90.00 beta=90.00 gamma=90.00
Each line ends with the local moment (μB).
Fractional positions:
K 0.4688 0.3015 0.5399  0.00
K 0.5312 0.8015 0.4601  0.00
K 0.9688 0.8015 0.9601  0.00
K 0.0312 0.3015 0.0399  0.00
F 0.2169 0.5758 0.5017  0.01
F 0.2853 0.0054 0.0460  0.00
F 0.1472 0.3157 0.3737  0.01
F 0.4611 0.2714 0.1418  0.01
F 0.7169 0.0758 0.9983  0.01
F 0.7147 0.5054 0.9540  0.00
F 0.9611 0.7714 0.3582  0.01
F 0.2147 0.0054 0.5460  0.00
F 0.8528 0.8157 0.6263  0.01
F 0.2831 0.5758 0.0017  0.01
F 0.0389 0.2714 0.6418  0.01
F 0.7853 0.5054 0.4540  0.00
F 0.7831 0.0758 0.4983  0.01
F 0.8329 0.1020 0.2133  0.00
F 0.1671 0.6020 0.7867  0.00
F 0.3528 0.3157 0.8737  0.01
F 0.6671 0.1020 0.7133  0.00
F 0.5389 0.7714 0.8582  0.01
F 0.6472 0.8157 0.1263  0.01
F 0.3329 0.6020 0.2867  0.00
Na 0.4522 0.0465 0.8626  0.00
Na 0.5478 0.5465 0.1374  0.00
Na 0.9522 0.5465 0.6374  0.00
Na 0.0478 0.0465 0.3626  0.00
O 0.3975 0.9954 0.2769  0.08
O 0.1025 0.9954 0.7769  0.08
O 0.6025 0.4954 0.7231  0.08
O 0.8975 0.4954 0.2231  0.08
Nb 0.5398 0.0390 0.1516  0.00
Nb 0.9602 0.0390 0.6516  0.00
Nb 0.4602 0.5390 0.8484  0.00
Nb 0.0398 0.5390 0.3484  0.00

Calculated values
- volume (Å³/cell) = 603
- N(E_F) (states/eV per cell) = 0.00
- excess energy over the best structure of this formula in the dataset (kJ/mol of formula units) = 0
- ΔE_f (raw) (kJ/mol of formula units) = -2571

# 3
Compound: Ho6Er3ThSc2
Source: the Alexandria database
Functional: PBE
Structure: optimized geometry

Unit cell a=6.0162 b=6.0162 c=11.5991 alpha=94.96 beta=94.96 gamma=119.99
Fractional positions:
Ho 0.7502 0.7502 0.2468
Ho 0.5841 0.9169 0.7531
Ho 0.9169 0.5841 0.7531
Ho 0.0831 0.4159 0.2469
Ho 0.2498 0.2498 0.7532
Ho 0.4159 0.0831 0.2469
Er 0.5000 0.5000 0.5000
Er 0.8325 0.1675 0.5000
Er 0.1675 0.8325 0.5000
Th 0.0000 0.0000 0.0000
Sc 0.6668 0.3332 0.0000
Sc 0.3332 0.6668 0.0000

Calculated values
- volume (Å³/cell) = 358
- N(E_F) (states/eV per cell) = 16.41
- DFT formation energy (eV/atom) = 0.04

# 4
Compound: HfReMo
Source: the Alexandria database
Functional: PBE
Structure: optimized geometry

Unit cell a=2.9022 b=4.4941 c=4.4941 alpha=120.00 beta=90.00 gamma=90.00
Fractional positions:
Hf 0.0024 0.0000 0.0000
Mo 0.3479 0.6667 0.3333
Re 0.6496 0.3333 0.6667

Calculated values
- volume (Å³/cell) = 51
- N(E_F) (states/eV per cell) = 1.68
- DFT formation energy (eV/atom) = -0.11
- excess energy over the best structure of this formula in the dataset (kJ/mol of formula units) = 53